## GaOsW2S (PBE)

Data for GaOsW2S after structural relaxation.

Values from the calculation:
**Energy relative to the elements, uncorrected**: 0.95 eV per atom
**Electronic total energy**: -39.56 eV for the cell shown
**Magnetic moment**: 0.00 μB/f.u.

abc: 4.4185 4.3399 4.4185
angles: 90.00 90.00 90.00
Last column: nearest neighbours and their distance in Å.
Fractional positions:
Os 0.0000 0.5000 0.0000  2 S 2.17
S 0.0000 0.0000 0.0000  2 Os 2.17, 4 W 2.21
Ga 0.5000 0.5000 0.5000  8 W 3.10, 4 Os 3.12
W 0.0000 0.0000 0.5000  2 S 2.21
W 0.5000 0.0000 0.0000  2 S 2.21

## NiPbW (PBE)

Data for NiPbW after structural relaxation.

Values from the calculation:
**Electronic total energy**: -20.56 eV for the cell shown
**Magnetic moment**: 0.00 μB/f.u.
**ΔE to the lowest computed polymorph**: 0.0 meV per atom

abc: 6.3406 6.3406 6.3406
angles: 152.76 152.76 38.91
Last column: nearest neighbours and their distance in Å.
Fractional positions:
Ni 0.0188 0.0188 0.0000  4 W 2.58
W 0.6429 0.6429 0.0000  4 Ni 2.58
Pb 0.3382 0.3382 0.0000  4 Pb 2.99, 4 Ni 3.02, 4 W 3.15

## PmDyEr2Sc (PBE)

Data for PmDyEr2Sc after structural relaxation.

Values from the calculation:
**Electronic total energy**: -46.29 eV for the cell shown
**Magnetic moment**: 0.00 μB/f.u.

abc: 7.0634 8.1565 6.9275
angles: 126.07 90.00 90.00
Last column: nearest neighbours and their distance in Å.
Fractional positions:
Pm 0.7500 0.2694 0.5389  1 Sc 2.98
Pm 0.2500 0.7306 0.4611  1 Sc 2.98
Er 0.0000 0.3034 0.0000  2 Sc 3.04, 1 Er 3.21
Er 0.0000 0.6966 0.0000  2 Sc 3.04, 1 Er 3.21
Er 0.5000 0.3034 0.0000  2 Sc 3.04, 1 Er 3.21
Er 0.5000 0.6966 0.0000  2 Sc 3.04, 1 Er 3.21
Dy 0.7500 0.7322 0.4644  1 Sc 3.04
Dy 0.2500 0.2678 0.5356  1 Sc 3.04
Sc 0.2500 0.9966 0.9931  1 Pm 2.98, 1 Dy 3.04, 4 Er 3.04
Sc 0.7500 0.0034 0.0069  1 Pm 2.98, 1 Dy 3.04, 4 Er 3.04

## Ho2Ga6CoRu (PBE)

Data for Ho2Ga6CoRu after structural relaxation.

Values from the calculation:
**Electronic total energy**: -46.50 eV for the cell shown
**Magnetic moment**: 0.00 μB/f.u.

abc: 6.5290 6.5290 6.5290
angles: 60.00 60.00 90.00
Last column: nearest neighbours and their distance in Å.
Fractional positions:
Co 0.0000 0.0000 0.0000  6 Ga 2.24
Ga 0.2425 0.7575 0.0000  1 Co 2.24, 1 Ru 2.38
Ga 0.7575 0.7575 0.4851  1 Co 2.24, 1 Ru 2.38
Ga 0.2425 0.2425 0.0000  1 Co 2.24, 1 Ru 2.38
Ga 0.7575 0.7575 0.0000  1 Co 2.24, 1 Ru 2.38
Ga 0.2425 0.2425 0.5149  1 Co 2.24, 1 Ru 2.38
Ga 0.7575 0.2425 0.0000  1 Co 2.24, 1 Ru 2.38
Ru 0.5000 0.5000 0.0000  6 Ga 2.38
Ho 0.2500 0.7500 0.5000  12 Ga 3.27
Ho 0.7500 0.2500 0.5000  12 Ga 3.27

## Sm2DyMg8 (PBE)

Data for Sm2DyMg8 after structural relaxation.

Values from the calculation:
**Electronic total energy**: -26.36 eV for the cell shown
**Magnetic moment**: 0.00 μB/f.u.

abc: 5.2691 7.5937 8.6741
angles: 115.96 107.68 90.00
Last column: nearest neighbours and their distance in Å.
Fractional positions:
Mg 0.0000 0.7109 0.0000  7 Mg 3.16-3.31, 2 Dy 3.43, 2 Sm 3.44
Mg 0.1546 0.1546 0.3093  8 Mg 3.16-3.50, 2 Sm 3.33, 2 Dy 3.48
Mg 0.8454 0.8454 0.6907  8 Mg 3.16-3.50, 2 Sm 3.33, 2 Dy 3.48
Mg 0.3638 0.5621 0.7276  3 Mg 3.01-3.31, 1 Dy 3.04, 3 Sm 3.21-3.25
Mg 0.6362 0.4379 0.2724  3 Mg 3.01-3.31, 1 Dy 3.04, 3 Sm 3.21-3.25
Mg 0.0000 0.2891 0.0000  7 Mg 3.16-3.31, 2 Dy 3.43, 2 Sm 3.44
Mg 0.6362 0.8345 0.2724  3 Mg 3.01-3.31, 1 Dy 3.04, 3 Sm 3.21-3.25
Mg 0.3638 0.1655 0.7276  3 Mg 3.01-3.31, 1 Dy 3.04, 3 Sm 3.21-3.25
Sm 0.7929 0.2929 0.5858  10 Mg 3.21-3.44
Sm 0.2071 0.7071 0.4142  10 Mg 3.21-3.44
Dy 0.5000 0.0000 0.0000  4 Mg 3.04

## Sr2PmPdO5 (PBE)

Data for Sr2PmPdO5 after structural relaxation.

Values from the calculation:
**Energy relative to the elements, uncorrected**: -1.88 eV per atom
**Electronic total energy**: -110.10 eV for the cell shown
**Magnetic moment**: 3.04 μB/f.u.

abc: 6.6523 6.6523 7.6671
angles: 115.71 115.71 90.00
Last column: nearest neighbours and their distance in Å.
Fractional positions:
Pd 0.7500 0.2500 0.5000  4 O 2.03
Pd 0.2500 0.7500 0.5000  4 O 2.03
O 0.5232 0.6786 0.7019  1 Pd 2.03
O 0.5000 0.5000 0.0000  4 Sr 2.48
O 0.8214 0.9768 0.2981  1 Pd 2.03
O 0.4768 0.3214 0.2981  1 Pd 2.03
O 0.6786 0.1786 0.7019  1 Pd 2.03
O 0.9768 0.4768 0.2981  1 Pd 2.03
O 0.0000 0.0000 0.0000  4 Sr 2.48
O 0.0232 0.5232 0.7019  1 Pd 2.03
O 0.1786 0.0232 0.7019  1 Pd 2.03
O 0.3214 0.8214 0.2981  1 Pd 2.03
Sr 0.6654 0.1654 0.0000  4 O 2.36-2.48
Sr 0.3346 0.8346 0.0000  4 O 2.36-2.48
Sr 0.8346 0.6654 0.0000  4 O 2.36-2.48
Sr 0.1654 0.3346 0.0000  4 O 2.36-2.48
Pm 0.2500 0.2500 0.5000  10 O 2.75-3.03
Pm 0.7500 0.7500 0.5000  10 O 2.75-3.03

## PbI2N2 (PBE)

Data for PbI2N2 after structural relaxation.

Values from the calculation:
**Energy relative to the elements, uncorrected**: 1.68 eV per atom
**Electronic total energy**: -15.05 eV for the cell shown
**Magnetic moment**: 5.05 μB/f.u.
**ΔE to the lowest computed polymorph**: 2072.0 meV per atom

abc: 6.1556 6.1556 4.7051
angles: 90.00 90.00 90.00
Last column: nearest neighbours and their distance in Å.
Fractional positions:
I 0.5000 0.0000 0.0000  2 Pb 3.08
I 0.0000 0.5000 0.0000  2 Pb 3.08
N 0.0000 0.0000 0.5000  2 Pb 2.35
N 0.5000 0.5000 0.5000  8 I 3.87
Pb 0.0000 0.0000 0.0000  2 N 2.35

## TlAg4Sb2 (PBE)

Data for TlAg4Sb2 after structural relaxation.

Values from the calculation:
**Energy relative to the elements, uncorrected**: 0.07 eV per atom
**Electronic total energy**: -21.54 eV for the cell shown
**Magnetic moment**: 0.00 μB/f.u.

abc: 4.7082 4.6200 8.2944
angles: 106.17 90.00 90.00
Last column: nearest neighbours and their distance in Å.
Fractional positions:
Tl 0.0000 0.0000 0.0000  8 Sb 3.64, 8 Ag 3.84-3.91
Sb 0.5000 0.5962 0.1925  4 Ag 2.80-2.81, 1 Sb 3.07
Sb 0.5000 0.4038 0.8075  4 Ag 2.80-2.81, 1 Sb 3.07
Ag 0.0000 0.6922 0.3844  2 Sb 2.81, 4 Ag 2.95
Ag 0.0000 0.3078 0.6156  2 Sb 2.81, 4 Ag 2.95
Ag 0.5000 0.8043 0.6086  2 Sb 2.80, 4 Ag 2.89-2.95
Ag 0.5000 0.1957 0.3914  2 Sb 2.80, 4 Ag 2.89-2.95

## Li2TlPt (PBE)

Data for Li2TlPt after structural relaxation.

Values from the calculation:
**Electronic total energy**: -13.74 eV for the cell shown
**Magnetic moment**: 0.00 μB/f.u.

abc: 3.0229 3.6360 6.0235
angles: 90.00 90.00 90.00
Last column: nearest neighbours and their distance in Å.
Fractional positions:
Li 0.0000 0.0000 0.0448  1 Li 2.47, 4 Pt 2.67
Li 0.0000 0.0000 0.4552  1 Li 2.47, 4 Pt 2.67
Tl 0.5000 0.5000 0.7500  8 Li 2.96, 2 Pt 3.01, 2 Tl 3.02
Pt 0.5000 0.5000 0.2500  8 Li 2.67

## SiHgBr2 (PBE)

Data for SiHgBr2 after structural relaxation.

Values from the calculation:
**Energy relative to the elements, uncorrected**: 0.29 eV per atom
**Electronic total energy**: -7.91 eV for the cell shown
**Magnetic moment**: 0.00 μB/f.u.
**ΔE to the lowest computed polymorph**: 524.4 meV per atom

abc: 5.2454 5.2454 5.2454
angles: 60.00 60.00 60.00
Last column: nearest neighbours and their distance in Å.
Fractional positions:
Si 0.0000 0.0000 0.0000  8 Br 3.21
Br 0.7500 0.7500 0.7500  4 Hg 3.21, 4 Si 3.21
Br 0.2500 0.2500 0.2500  4 Hg 3.21, 4 Si 3.21
Hg 0.5000 0.5000 0.5000  8 Br 3.21

## SrLi2Br (PBE)

Data for SrLi2Br after structural relaxation.

Values from the calculation:
**Energy relative to the elements, uncorrected**: -0.36 eV per atom
**Electronic total energy**: -8.60 eV for the cell shown
**Magnetic moment**: 0.50 μB/f.u.
**ΔE to the lowest computed polymorph**: 262.9 meV per atom

abc: 5.5778 5.5778 5.5778
angles: 60.00 60.00 60.00
Last column: nearest neighbours and their distance in Å.
Fractional positions:
Br 0.5000 0.5000 0.5000  4 Li 3.42, 4 Sr 3.42
Li 0.0000 0.0000 0.0000  4 Li 3.42, 4 Sr 3.42
Li 0.2500 0.2500 0.2500  4 Li 3.42, 4 Br 3.42
Sr 0.7500 0.7500 0.7500  4 Br 3.42, 4 Li 3.42

## Ga2Ag7Au2 (PBE)

Data for Ga2Ag7Au2 after structural relaxation.

Values from the calculation:
**Electronic total energy**: -32.75 eV for the cell shown
**Magnetic moment**: 0.00 μB/f.u.

abc: 8.4056 5.0610 5.0610
angles: 112.77 88.79 88.79
Last column: nearest neighbours and their distance in Å.
Fractional positions:
Ag 0.1443 0.4291 0.8201  1 Ga 2.65, 8 Ag 2.85-2.96
Ag 0.8557 0.5709 0.1799  1 Ga 2.65, 8 Ag 2.85-2.96
Ag 0.2937 0.2542 0.2542  3 Ga 2.78-2.97, 5 Ag 2.90-2.96, 4 Au 3.05-3.09
Ag 0.7063 0.7458 0.7458  3 Ga 2.78-2.97, 5 Ag 2.90-2.96, 4 Au 3.05-3.09
Ag 0.0000 0.0000 0.0000  10 Ag 2.90-2.93
Ag 0.8557 0.1799 0.5709  1 Ga 2.65, 8 Ag 2.85-2.96
Ag 0.1443 0.8201 0.4291  1 Ga 2.65, 8 Ag 2.85-2.96
Ga 0.6308 0.2326 0.2326  5 Ag 2.65-2.97, 4 Au 2.73-2.79
Ga 0.3692 0.7674 0.7674  5 Ag 2.65-2.97, 4 Au 2.73-2.79
Au 0.5000 0.2499 0.7501  4 Ga 2.73-2.79, 2 Au 2.80, 2 Ag 3.05
Au 0.5000 0.7501 0.2499  4 Ga 2.73-2.79, 2 Au 2.80, 2 Ag 3.05

Repeat the ninth record exactly.
## Li2TlPt (PBE)

Data for Li2TlPt after structural relaxation.

Values from the calculation:
**Electronic total energy**: -13.74 eV for the cell shown
**Magnetic moment**: 0.00 μB/f.u.

abc: 3.0229 3.6360 6.0235
angles: 90.00 90.00 90.00
Last column: nearest neighbours and their distance in Å.
Fractional positions:
Li 0.0000 0.0000 0.0448  1 Li 2.47, 4 Pt 2.67
Li 0.0000 0.0000 0.4552  1 Li 2.47, 4 Pt 2.67
Tl 0.5000 0.5000 0.7500  8 Li 2.96, 2 Pt 3.01, 2 Tl 3.02
Pt 0.5000 0.5000 0.2500  8 Li 2.67

Copy entry 6 word for word.
## Sr2PmPdO5 (PBE)

Data for Sr2PmPdO5 after structural relaxation.

Values from the calculation:
**Energy relative to the elements, uncorrected**: -1.88 eV per atom
**Electronic total energy**: -110.10 eV for the cell shown
**Magnetic moment**: 3.04 μB/f.u.

abc: 6.6523 6.6523 7.6671
angles: 115.71 115.71 90.00
Last column: nearest neighbours and their distance in Å.
Fractional positions:
Pd 0.7500 0.2500 0.5000  4 O 2.03
Pd 0.2500 0.7500 0.5000  4 O 2.03
O 0.5232 0.6786 0.7019  1 Pd 2.03
O 0.5000 0.5000 0.0000  4 Sr 2.48
O 0.8214 0.9768 0.2981  1 Pd 2.03
O 0.4768 0.3214 0.2981  1 Pd 2.03
O 0.6786 0.1786 0.7019  1 Pd 2.03
O 0.9768 0.4768 0.2981  1 Pd 2.03
O 0.0000 0.0000 0.0000  4 Sr 2.48
O 0.0232 0.5232 0.7019  1 Pd 2.03
O 0.1786 0.0232 0.7019  1 Pd 2.03
O 0.3214 0.8214 0.2981  1 Pd 2.03
Sr 0.6654 0.1654 0.0000  4 O 2.36-2.48
Sr 0.3346 0.8346 0.0000  4 O 2.36-2.48
Sr 0.8346 0.6654 0.0000  4 O 2.36-2.48
Sr 0.1654 0.3346 0.0000  4 O 2.36-2.48
Pm 0.2500 0.2500 0.5000  10 O 2.75-3.03
Pm 0.7500 0.7500 0.5000  10 O 2.75-3.03